This record from Alexandria describes BaP2 after structural relaxation. The functional is PBE.

```
data_BaP2
_chemical_formula_sum 'Ba2 P4'
_symmetry_space_group_name_H-M 'I 4/m m m'
_symmetry_Int_Tables_number 139
_symmetry_space_group_name_Hall '-I 4 2'
_cell_length_a 4.6065
_cell_length_b 4.6065
_cell_length_c 8.3826
_cell_angle_alpha 90.00
_cell_angle_beta 90.00
_cell_angle_gamma 90.00
loop_
_atom_site_label
_atom_site_fract_x
_atom_site_fract_y
_atom_site_fract_z
Ba1 0.0000 0.0000 0.0000
P1 0.0000 0.0000 0.3777
```

Computed properties:
formation energy: -0.622 eV/atom
spin magnetization: 0.0 μB per formula unit